# GGA-PBE Nd4Sm8Tm3, optimized geometry
data_Nd4Sm8Tm3
_chemical_formula_sum 'Nd8 Sm16 Tm6'
_space_group_name_H-M_alt 'C 1 2/m 1'
_space_group_IT_number 12
_cell_length_a 13.589
_cell_length_b 12.887
_cell_length_c 6.837
_cell_angle_alpha 90.00
_cell_angle_beta 120.00
_cell_angle_gamma 90.00
loop_
_space_group_symop_operation_xyz
'x,y,z'
'-x,-y,-z'
'-x,y,-z'
'x,-y,z'
'x+1/2,y+1/2,z'
'-x+1/2,-y+1/2,-z'
'-x+1/2,y+1/2,-z'
'x+1/2,-y+1/2,z'
loop_
_atom_site_label
_atom_site_type_symbol
_atom_site_fract_x
_atom_site_fract_y
_atom_site_fract_z
Nd1 Nd 0.000 0.000 0.000
Nd2 Nd 0.000 0.000 0.500
Nd3 Nd 0.250 0.250 0.000
Sm1 Sm 0.000 0.255 0.000
Sm2 Sm 0.000 0.357 0.500
Sm3 Sm 0.227 0.500 0.949
Sm4 Sm 0.237 0.500 0.482
Tm1 Tm 0.000 0.500 0.000
Tm2 Tm 0.250 0.250 0.500
# - E_form (eV per atom) = 0.3501

---

# GGA-PBE Ca2TlCd16, optimized geometry
data_Ca2TlCd16
_chemical_formula_sum 'Ca6 Tl3 Cd48'
_space_group_name_H-M_alt 'R 3 m'
_space_group_IT_number 160
_space_group_name_Hall 'R 3 -2"'
_cell_length_a 10.3140
_cell_length_b 10.3140
_cell_length_c 14.9139
_cell_angle_alpha 90.00
_cell_angle_beta 90.00
_cell_angle_gamma 120.00
loop_
_atom_site_label
_atom_site_type_symbol
_atom_site_fract_x
_atom_site_fract_y
_atom_site_fract_z
Ca1 Ca 0.0000 0.0000 0.0000
Ca2 Ca 0.0000 0.0000 0.3257
Tl1 Tl 0.0000 0.0000 0.5596
Cd1 Cd 0.0000 0.0000 0.7655
Cd2 Cd 0.0192 0.5096 0.8139
Cd3 Cd 0.0279 0.3595 0.3308
Cd4 Cd 0.1722 0.3444 0.4987
Cd5 Cd 0.1740 0.3480 0.8465
# - E_form (eV per atom) = -0.1175

---

# GGA-PBE YH2I, optimized geometry
data_YH2I
_chemical_formula_sum 'Y3 H6 I3'
_space_group_name_H-M_alt 'R -3 m'
_space_group_IT_number 166
_space_group_name_Hall '-R 3 2"'
_cell_length_a 3.8068
_cell_length_b 3.8068
_cell_length_c 15.6730
_cell_angle_alpha 90.00
_cell_angle_beta 90.00
_cell_angle_gamma 120.00
loop_
_atom_site_label
_atom_site_type_symbol
_atom_site_fract_x
_atom_site_fract_y
_atom_site_fract_z
Y1 Y 0.0000 0.0000 0.0000
H1 H 0.0000 0.0000 0.3091
I1 I 0.0000 0.0000 0.5000
# - E_tot (hartree per atom) = -0.163

---

# GGA-PBE SeO2F, optimized geometry
data_SeO2F
_chemical_formula_sum 'Se4 O8 F4'
_space_group_name_H-M_alt 'F m -3 m'
_space_group_IT_number 225
_space_group_name_Hall '-F 4 2 3'
_cell_length_a 5.277
_cell_length_b 5.277
_cell_length_c 5.277
_cell_angle_alpha 90.00
_cell_angle_beta 90.00
_cell_angle_gamma 90.00
loop_
_atom_site_label
_atom_site_type_symbol
_atom_site_fract_x
_atom_site_fract_y
_atom_site_fract_z
Se1 Se 0.000 0.000 0.000
O1 O 0.250 0.250 0.250
F1 F 0.000 0.000 0.500
# - raw formation energy (eV per atom) = 0.303

---

# GGA-PBE PmPu3Fe, optimized geometry
data_PmPu3Fe
_chemical_formula_sum 'Pm1 Pu3 Fe1'
_space_group_name_H-M_alt 'P m -3 m'
_space_group_IT_number 221
_space_group_name_Hall '-P 4 2 3'
_cell_length_a 5.153
_cell_length_b 5.153
_cell_length_c 5.153
_cell_angle_alpha 90.00
_cell_angle_beta 90.00
_cell_angle_gamma 90.00
loop_
_atom_site_label
_atom_site_type_symbol
_atom_site_fract_x
_atom_site_fract_y
_atom_site_fract_z
Pm1 Pm 0.000 0.000 0.000
Pu1 Pu 0.000 0.500 0.500
Fe1 Fe 0.500 0.500 0.500
# - E_form (eV per atom) = 0.2388

---

# GGA-PBE Sc3InTc, optimized geometry
data_Sc3InTc
_chemical_formula_sum 'Sc3 In1 Tc1'
_space_group_name_H-M_alt 'P m -3 m'
_space_group_IT_number 221
_space_group_name_Hall '-P 4 2 3'
_cell_length_a 5.249
_cell_length_b 5.249
_cell_length_c 5.249
_cell_angle_alpha 90.00
_cell_angle_beta 90.00
_cell_angle_gamma 90.00
loop_
_atom_site_label
_atom_site_type_symbol
_atom_site_fract_x
_atom_site_fract_y
_atom_site_fract_z
Sc1 Sc 0.000 0.000 0.500
In1 In 0.000 0.000 0.000
Tc1 Tc 0.500 0.500 0.500
# - E_form (eV per atom) = 1.1407